No. 1
# LuZrHgRh

LuZrHgRh after structural relaxation (GGA-PBE, the Alexandria database).

Cell lengths 4.890, 4.890, 4.890 Å; angles 60.00, 60.00, 60.00 degrees
Positions (direct):
Hg 0.500 0.500 0.500
Zr 0.750 0.750 0.750
Rh 0.000 0.000 0.000
Lu 0.250 0.250 0.250

Computed properties:
The density of states at the Fermi level comes out at 3.385 states/eV/cell. The volume comes out at 82.7 Å³/cell. As for the formation energy: -473 meV/atom. The total moment comes out at 0.00 μB per formula unit.



No. 2
# LuHgRu

LuHgRu after structural relaxation (GGA-PBE, the Alexandria database).

Cell lengths 3.479, 3.479, 5.477 Å; angles 108.52, 108.52, 90.00 degrees
Positions (direct):
Hg 0.990 0.990 0.980
Lu 0.682 0.682 0.364
Ru 0.328 0.328 0.655

Computed properties:
The density of states at the Fermi level comes out at 2.004 states/eV/cell. The volume comes out at 59.2 Å³/cell. As for the formation energy: -197 meV/atom. The total moment comes out at 0.00 μB per formula unit.



No. 3
# Lu2HgRu

Lu2HgRu after structural relaxation (GGA-PBE, the Alexandria database).

Cell lengths 3.406, 3.406, 7.364 Å; angles 90.00, 90.00, 90.00 degrees
Positions (direct):
Lu 0.000 0.000 0.780
Lu 0.000 0.000 0.220
Ru 0.500 0.500 0.000
Hg 0.500 0.500 0.500

Computed properties:
The density of states at the Fermi level comes out at 2.655 states/eV/cell. The volume comes out at 85.4 Å³/cell. For the energy above the most stable polymorph in this dataset, the calculation gives 0.000 eV per atom. As for the formation energy: -564 meV/atom. The total moment comes out at 0.00 μB per formula unit.



No. 4
# Lu2HgRu

Lu2HgRu after structural relaxation (GGA-PBE, the Alexandria database).

Cell lengths 4.926, 4.926, 4.926 Å; angles 60.00, 60.00, 60.00 degrees
Positions (direct):
Ru 0.500 0.500 0.500
Hg 0.000 0.000 0.000
Lu 0.750 0.750 0.750
Lu 0.250 0.250 0.250

Computed properties:
The density of states at the Fermi level comes out at 3.297 states/eV/cell. The volume comes out at 84.5 Å³/cell. For the energy above the most stable polymorph in this dataset, the calculation gives 0.150 eV per atom. As for the formation energy: -414 meV/atom. The total moment comes out at 0.00 μB per formula unit.



No. 5
# LuScHgRu

LuScHgRu after structural relaxation (GGA-PBE, the Alexandria database).

Cell lengths 4.840, 4.840, 4.840 Å; angles 60.00, 60.00, 60.00 degrees
Positions (direct):
Sc 0.750 0.750 0.750
Lu 0.250 0.250 0.250
Ru 0.000 0.000 0.000
Hg 0.500 0.500 0.500

Computed properties:
The density of states at the Fermi level comes out at 2.973 states/eV/cell. The volume comes out at 80.2 Å³/cell. As for the formation energy: -414 meV/atom. The total moment comes out at 0.00 μB per formula unit.



No. 6
# TmLuHgRu

TmLuHgRu after structural relaxation (GGA-PBE, the Alexandria database).

Cell lengths 4.944, 4.944, 4.944 Å; angles 60.00, 60.00, 60.00 degrees
Positions (direct):
Tm 0.500 0.500 0.500
Hg 0.750 0.750 0.750
Ru 0.250 0.250 0.250
Lu 0.000 0.000 0.000

Computed properties:
The density of states at the Fermi level comes out at 3.554 states/eV/cell. The volume comes out at 85.5 Å³/cell. As for the formation energy: -406 meV/atom. The total moment comes out at 0.00 μB per formula unit.



No. 7
# YLuHgRu

YLuHgRu after structural relaxation (GGA-PBE, the Alexandria database).

Cell lengths 4.986, 4.986, 4.986 Å; angles 60.00, 60.00, 60.00 degrees
Positions (direct):
Ru 0.750 0.750 0.750
Y 0.500 0.500 0.500
Lu 0.000 0.000 0.000
Hg 0.250 0.250 0.250

Computed properties:
The density of states at the Fermi level comes out at 3.790 states/eV/cell. The volume comes out at 87.6 Å³/cell. As for the formation energy: -381 meV/atom. The total moment comes out at 0.00 μB per formula unit.



No. 8
# Lu2HgS

Lu2HgS after structural relaxation (GGA-PBE, the Alexandria database).

Cell lengths 3.743, 3.743, 7.850 Å; angles 76.21, 76.21, 60.00 degrees
Positions (direct):
Lu 0.262 0.262 0.214
Lu 0.738 0.738 0.786
Hg 0.500 0.500 0.500
S 0.000 0.000 0.000

Computed properties:
The density of states at the Fermi level comes out at 2.279 states/eV/cell. The volume comes out at 91.5 Å³/cell. Its formation energy (no corrections) is -1.146 eV/atom. The total moment comes out at 0.00 μB per formula unit.